(1)
DFT (PBE) results for a relaxed CdIn2Br crystal.

abc: 5.4724 5.4724 5.4724
angles: 60.00 60.00 60.00
Positions (direct):
Cd 0.0000 0.0000 0.0000
In 0.5000 0.5000 0.5000
In 0.7500 0.7500 0.7500
Br 0.2500 0.2500 0.2500

Results
Crystal system = cubic
VASP energy = -2.05 eV per atom
Energy relative to the elements, uncorrected = -0.037 eV per atom
D(E_F) = 0.875 states/eV/atom
Offset from the most stable computed form = 0.174 eV/atom
Magnetization = 0.000 μB/atom

=====

(2)
DFT (PBE) results for a relaxed HgPOs2 crystal.

abc: 4.4878 4.4878 4.4878
angles: 60.00 60.00 60.00
Positions (direct):
Hg 0.0000 0.0000 0.0000
P 0.7500 0.7500 0.7500
Os 0.2500 0.2500 0.2500
Os 0.5000 0.5000 0.5000

Results
Crystal system = cubic
VASP energy = -5.99 eV per atom
DFT formation energy = 1.0566 eV/atom
D(E_F) = 0.814 states/eV/atom
Offset from the most stable computed form = 0.765 eV/atom
Magnetization = 0.000 μB/atom

=====

(3)
DFT (PBE) results for a relaxed Re2RuAu crystal.

abc: 2.7477 2.7477 8.1127
angles: 90.00 90.00 90.00
Positions (direct):
Re 0.0000 0.0000 0.2335
Re 0.0000 0.0000 0.7665
Ru 0.5000 0.5000 0.0000
Au 0.5000 0.5000 0.5000

Results
Crystal system = tetragonal
VASP energy = -9.05 eV per atom
DFT formation energy = 0.3118 eV/atom
D(E_F) = 1.209 states/eV/atom
Offset from the most stable computed form = 0.099 eV/atom
Magnetization = 0.000 μB/atom

=====

(4)
DFT (PBE) results for a relaxed Sm7HoTm4 crystal.

abc: 6.2442 7.2004 8.8713
angles: 89.98 76.44 89.94
Positions (direct):
Sm 0.0000 0.0000 0.0000
Sm 0.2215 0.5001 0.3349
Sm 0.2798 0.7508 0.6649
Sm 0.4985 0.2473 0.9988
Sm 0.5015 0.7527 0.0012
Sm 0.7202 0.2492 0.3351
Sm 0.7785 0.4999 0.6651
Ho 0.0000 0.5000 0.0000
Tm 0.2200 0.0001 0.3358
Tm 0.2777 0.2472 0.6664
Tm 0.7223 0.7528 0.3336
Tm 0.7800 0.9999 0.6642

Results
Crystal system = triclinic
VASP energy = -4.62 eV per atom
DFT formation energy = 0.0017 eV/atom
D(E_F) = 1.242 states/eV/atom
Offset from the most stable computed form = 0.000 eV/atom
Magnetization = 0.000 μB/atom

=====

(5)
DFT (PBE) results for a relaxed V5Pd7 crystal.

abc: 4.7603 4.7603 10.9433
angles: 107.02 107.02 47.42
Positions (direct):
V 0.0000 0.0000 0.0000
V 0.0010 0.0010 0.7514
V 0.3273 0.3273 0.5768
V 0.6727 0.6727 0.4232
V 0.9990 0.9990 0.2486
Pd 0.0000 0.0000 0.5000
Pd 0.3345 0.3345 0.3380
Pd 0.3373 0.3373 0.0851
Pd 0.3369 0.3369 0.8278
Pd 0.6631 0.6631 0.1722
Pd 0.6627 0.6627 0.9149
Pd 0.6655 0.6655 0.6620

Results
Crystal system = monoclinic
VASP energy = -7.04 eV per atom
DFT formation energy = -0.2128 eV/atom
D(E_F) = 0.988 states/eV/atom
Magnetization = 0.043 μB/atom

=====

(6)
DFT (PBE) results for a relaxed HgSb2Pt crystal.

abc: 3.1145 3.6853 8.9548
angles: 90.00 90.70 90.00
Positions (direct):
Hg 0.0000 0.0000 0.0000
Sb 0.0071 0.5000 0.6813
Sb 0.9929 0.5000 0.3187
Pt 0.5000 0.0000 0.5000

Results
Crystal system = monoclinic
VASP energy = -3.73 eV per atom
Energy relative to the elements, uncorrected = -0.082 eV per atom
D(E_F) = 0.306 states/eV/atom
Magnetization = 0.000 μB/atom

=====

(7)
DFT (PBE) results for a relaxed TaInW2 crystal.

abc: 2.8302 4.5995 5.5810
angles: 90.00 102.03 90.00
Positions (direct):
Ta 0.0000 0.0000 0.0000
In 0.3136 0.5000 0.7416
W 0.5144 0.0000 0.4685
W 0.7345 0.5000 0.2521

Results
Crystal system = monoclinic
VASP energy = -9.84 eV per atom
DFT formation energy = 0.2847 eV/atom
D(E_F) = 0.396 states/eV/atom
Magnetization = 0.000 μB/atom

=====

(8)
DFT (PBE) results for a relaxed Cs2TbPa3O12 crystal.

abc: 8.0570 8.0570 8.0570
angles: 61.59 61.59 61.59
Positions (direct):
Cs 0.1353 0.1353 0.1353
Cs 0.8647 0.8647 0.8647
Tb 0.5000 0.5000 0.5000
Pa 0.0000 0.5000 0.5000
Pa 0.5000 0.0000 0.5000
Pa 0.5000 0.5000 0.0000
O 0.1713 0.5671 0.5671
O 0.1882 0.1882 0.5587
O 0.1882 0.5587 0.1882
O 0.4329 0.4329 0.8287
O 0.4329 0.8287 0.4329
O 0.4413 0.8118 0.8118
O 0.5587 0.1882 0.1882
O 0.5671 0.1713 0.5671
O 0.5671 0.5671 0.1713
O 0.8118 0.4413 0.8118
O 0.8118 0.8118 0.4413
O 0.8287 0.4329 0.4329

Results
Crystal system = trigonal
VASP energy = -7.96 eV per atom
Energy relative to the elements, uncorrected = -2.721 eV per atom
D(E_F) = 0.860 states/eV/atom
Magnetization = 0.197 μB/atom